1.
The following is a GGA-PBE calculation of a relaxed LiZn2Cu crystal, from Alexandria via LeMat-Bulk.

Values from the calculation:
The value obtained for the total magnetic moment is 0.00 μB/f.u. The calculation puts the energy of formation at -114 meV/atom. The final energy comes out at -2.25 eV/atom. The calculated density is 6.12 g cm⁻³. The calculation puts the density of states at the Fermi level at 0.323 states/eV/atom. The value obtained for the volume is 13.7 Å³ per atom.

Unit cell a=8.8025 b=2.5979 c=4.8089 alpha=90.00 beta=96.63 gamma=90.00
Space group Cm (No. 8)
Inequivalent atoms, fractional coordinates:
Li  0.0000  0.0000  0.0000 x2
Zn  0.2440  0.0000  0.7510 x2
Zn  0.4971  0.0000  0.4859 x2
Cu  0.2557  0.5000  0.2458 x2

---

2.
The following is a GGA-PBE calculation of a relaxed LiZn8Cu6 crystal, from Alexandria via LeMat-Bulk.

Values from the calculation:
The value obtained for the total magnetic moment is 0.00 μB/f.u. The calculation puts the energy of formation at 4 meV/atom. The final energy comes out at -2.44 eV/atom. The calculated density is 6.91 g cm⁻³. The calculation puts the density of states at the Fermi level at 0.219 states/eV/atom. The value obtained for the volume is 14.6 Å³ per atom.

Unit cell a=7.4149 b=7.4149 c=4.5999 alpha=90.00 beta=90.00 gamma=120.00
Space group P-3 (No. 147)
Inequivalent atoms, fractional coordinates:
Li  0.0000  0.0000  0.0000 x1
Zn  0.0086  0.3185  0.3931 x6
Zn  0.3333  0.6667  0.6323 x2
Cu  0.1321  0.6737  0.0999 x6

---

3.
The following is a GGA-PBE calculation of a relaxed Li3ZnCu4 crystal, from Alexandria via LeMat-Bulk.

Values from the calculation:
The value obtained for the total magnetic moment is 0.00 μB/f.u. The calculation puts the energy of formation at 19 meV/atom. The relative energy among the computed polymorphs is 82 meV/atom. The final energy comes out at -2.91 eV/atom. The calculated density is 5.44 g cm⁻³. The calculation puts the density of states at the Fermi level at 0.274 states/eV/atom. The value obtained for the volume is 13.0 Å³ per atom.

Unit cell a=4.9827 b=8.4908 c=4.9129 alpha=90.00 beta=90.00 gamma=90.00
Space group Imm2 (No. 44)
Inequivalent atoms, fractional coordinates:
Li  0.0000  0.0000  0.0000 x2
Li  0.0000  0.2482  0.7494 x4
Zn  0.0000  0.5000  0.4814 x2
Cu  0.0000  0.2470  0.2537 x4
Cu  0.2489  0.5000  0.9837 x4

---

Q: Look up the total magnetic moment of the second one.
A: 0.00 μB/f.u.

---

Q: Among the records above, which one has the highest final energy?
A: LiZn2Cu

---

Q: Among the records above, which one has the highest energy of formation?
A: Li3ZnCu4